# 1
LiSnP2O7 (PBE, optimized geometry); calculated total energy = -6.141 eV/atom; energy relative to the elements, uncorrected = -1464 meV/atom; E above lowest polymorph = 601 meV per atom; DOS at the Fermi energy = 0.00 states/eV/cell
1.0
5.278 0.000 0.000
2.623 6.048 0.000
0.036 3.521 10.683
Li Sn P O
2 2 4 14
Cartesian
1.074 0.769 1.839
6.863 8.801 8.843
2.717 5.608 7.784
5.219 3.962 2.899
4.543 6.988 5.111
4.283 7.410 10.023
3.653 2.160 0.660
3.394 2.582 5.571
0.463 1.658 4.732
3.155 7.577 8.987
2.257 2.125 1.189
3.529 4.750 1.728
4.214 5.127 0.447
4.380 6.133 6.350
4.881 6.394 3.770
3.056 3.175 6.913
3.557 3.437 4.333
3.723 4.443 10.236
4.407 4.820 8.954
5.679 7.444 9.494
4.782 1.993 1.696
7.473 7.912 5.951

# 2
Ce2TeP (PBE, optimized geometry); calculated total energy = -6.551 eV/atom; energy relative to the elements, uncorrected = -1446 meV/atom; E above lowest polymorph = 20 meV per atom; DOS at the Fermi energy = 24.19 states/eV/cell
1.0
4.197 0.000 0.000
-2.099 3.635 0.000
0.000 0.000 14.766
Ce Te P
4 2 2
Cartesian
0.000 2.423 1.554
0.000 2.423 5.829
2.099 1.212 8.937
2.099 1.212 13.212
0.000 2.423 11.075
2.099 1.212 3.692
0.000 0.000 0.000
0.000 0.000 7.383

# 3
Ac2Ga7Ni (PBE, optimized geometry); calculated total energy = -4.021 eV/atom; E_form = -503 meV per atom; DOS at the Fermi energy = 4.08 states/eV/cell
1.0
4.481 0.000 0.000
0.000 4.481 0.000
0.000 0.000 10.465
Ac Ga Ni
2 7 1
Cartesian
0.000 2.241 2.519
2.241 0.000 7.946
0.000 0.000 0.000
0.000 0.000 5.233
0.000 2.241 6.657
0.000 2.241 9.253
2.241 0.000 1.212
2.241 0.000 3.808
2.241 2.241 5.233
2.241 2.241 0.000

# 4
CaPuMg2 (PBE, optimized geometry); calculated total energy = -4.769 eV/atom; E_form = 112 meV per atom; DOS at the Fermi energy = 11.61 states/eV/cell
1.0
5.687 0.000 0.000
0.000 5.687 0.000
0.000 0.000 3.557
Ca Pu Mg
1 1 2
Cartesian
0.000 0.000 0.000
2.843 2.843 0.000
0.000 2.843 1.778
2.843 0.000 1.778